Record 1
A plane-wave DFT calculation with PBE-GGA was carried out for a geometry-optimized ZrAuS2N structure.

Geometry as CIF:
```
data_ZrAuS2N
_cell_length_a 4.9067
_cell_length_b 4.9067
_cell_length_c 3.8330
_cell_angle_alpha 90.00
_cell_angle_beta 90.00
_cell_angle_gamma 90.00
_space_group_name_H-M_alt 'P 1'
_space_group_IT_number 1
_space_group_name_Hall 'P 1'
loop_
_atom_site_label
_atom_site_type_symbol
_atom_site_fract_x
_atom_site_fract_y
_atom_site_fract_z
_atom_site_occupancy
S1 S 0.0000 0.5000 0.0000 1
S2 S 0.5000 0.0000 0.0000 1
Au1 Au 0.0000 0.0000 0.0000 1
Zr1 Zr 0.5000 0.5000 0.5000 1
N1 N 0.0000 0.0000 0.5000 1
```

Output
ΔE to the lowest computed polymorph = 0.5046 eV per atom
Symmetry = No. 123
Energy = -24.820 eV/f.u.
Volume = 92.28 Å³ per cell
Energy relative to the elements, uncorrected = 0.717 eV/atom


Record 2
A plane-wave DFT calculation with PBE-GGA was carried out for a geometry-optimized SbAuN structure.

Geometry as CIF:
```
data_SbAuN
_cell_length_a 4.3908
_cell_length_b 6.1116
_cell_length_c 13.9350
_cell_angle_alpha 75.34
_cell_angle_beta 90.00
_cell_angle_gamma 90.00
_space_group_name_H-M_alt 'P 1'
_space_group_IT_number 1
_space_group_name_Hall 'P 1'
loop_
_atom_site_label
_atom_site_type_symbol
_atom_site_fract_x
_atom_site_fract_y
_atom_site_fract_z
_atom_site_occupancy
Sb1 Sb 0.7500 0.4300 0.6190 1
Sb2 Sb 0.2500 0.0700 0.3810 1
Sb3 Sb 0.2500 0.5700 0.3810 1
Sb4 Sb 0.7500 0.9300 0.6190 1
Au1 Au 0.7500 0.3609 0.3105 1
Au2 Au 0.2500 0.1391 0.6895 1
Au3 Au 0.2500 0.6391 0.6895 1
Au4 Au 0.7500 0.8609 0.3105 1
N1 N 0.4059 0.0254 0.9727 1
N2 N 0.9059 0.4746 0.0273 1
N3 N 0.5941 0.9746 0.0273 1
N4 N 0.0941 0.5254 0.9727 1
```

Output
ΔE to the lowest computed polymorph = 0.0767 eV per atom
Symmetry = No. 14
Energy = -15.283 eV/f.u.
Volume = 361.76 Å³ per cell
Energy relative to the elements, uncorrected = 0.147 eV/atom


Record 3
A plane-wave DFT calculation with PBE-GGA was carried out for a geometry-optimized Sb2AuN structure.

Geometry as CIF:
```
data_Sb2AuN
_cell_length_a 3.2272
_cell_length_b 14.1034
_cell_length_c 6.7008
_cell_angle_alpha 136.19
_cell_angle_beta 103.93
_cell_angle_gamma 90.00
_space_group_name_H-M_alt 'P 1'
_space_group_IT_number 1
_space_group_name_Hall 'P 1'
loop_
_atom_site_label
_atom_site_type_symbol
_atom_site_fract_x
_atom_site_fract_y
_atom_site_fract_z
_atom_site_occupancy
Sb1 Sb 0.1072 0.8393 0.2144 1
Sb2 Sb 0.2230 0.5907 0.4460 1
Sb3 Sb 0.7770 0.4093 0.5540 1
Sb4 Sb 0.8928 0.1607 0.7856 1
Au1 Au 0.3577 0.3063 0.7154 1
Au2 Au 0.6423 0.6937 0.2846 1
N1 N 0.5408 0.2239 0.0815 1
N2 N 0.4592 0.7761 0.9185 1
```

Output
Symmetry = No. 12
Energy = -18.221 eV/f.u.
Volume = 197.93 Å³ per cell
Energy relative to the elements, uncorrected = 0.407 eV/atom


Record 4
A plane-wave DFT calculation with PBE-GGA was carried out for a geometry-optimized SbAu2N structure.

Geometry as CIF:
```
data_SbAu2N
_cell_length_a 5.1802
_cell_length_b 5.1802
_cell_length_c 7.2157
_cell_angle_alpha 68.96
_cell_angle_beta 68.96
_cell_angle_gamma 90.00
_space_group_name_H-M_alt 'P 1'
_space_group_IT_number 1
_space_group_name_Hall 'P 1'
loop_
_atom_site_label
_atom_site_type_symbol
_atom_site_fract_x
_atom_site_fract_y
_atom_site_fract_z
_atom_site_occupancy
Sb1 Sb 0.0000 0.0000 0.0000 1
Sb2 Sb 0.7500 0.2500 0.5000 1
Au1 Au 0.4863 0.1250 0.2500 1
Au2 Au 0.2637 0.6250 0.2500 1
Au3 Au 0.3750 0.5137 0.7500 1
Au4 Au 0.8750 0.7363 0.7500 1
N1 N 0.5000 0.5000 0.0000 1
N2 N 0.2500 0.7500 0.5000 1
```

Output
ΔE to the lowest computed polymorph = 0.0000 eV per atom
Symmetry = No. 122
Energy = -15.940 eV/f.u.
Volume = 166.82 Å³ per cell
Energy relative to the elements, uncorrected = 0.766 eV/atom


Record 5
A plane-wave DFT calculation with PBE-GGA was carried out for a geometry-optimized SbAu2N structure.

Geometry as CIF:
```
data_SbAu2N
_cell_length_a 4.6316
_cell_length_b 4.6316
_cell_length_c 4.6316
_cell_angle_alpha 60.00
_cell_angle_beta 60.00
_cell_angle_gamma 60.00
_space_group_name_H-M_alt 'P 1'
_space_group_IT_number 1
_space_group_name_Hall 'P 1'
loop_
_atom_site_label
_atom_site_type_symbol
_atom_site_fract_x
_atom_site_fract_y
_atom_site_fract_z
_atom_site_occupancy
Sb1 Sb 0.5000 0.5000 0.5000 1
Au1 Au 0.2500 0.2500 0.2500 1
Au2 Au 0.7500 0.7500 0.7500 1
N1 N 0.0000 0.0000 0.0000 1
```

Output
ΔE to the lowest computed polymorph = 0.3892 eV per atom
Symmetry = No. 225
Energy = -14.384 eV/f.u.
Volume = 70.26 Å³ per cell
Energy relative to the elements, uncorrected = 1.155 eV/atom


Record 6
A plane-wave DFT calculation with PBE-GGA was carried out for a geometry-optimized Sb2AuN structure.

Geometry as CIF:
```
data_Sb2AuN
_cell_length_a 5.7485
_cell_length_b 5.7485
_cell_length_c 6.9200
_cell_angle_alpha 65.46
_cell_angle_beta 65.46
_cell_angle_gamma 90.00
_space_group_name_H-M_alt 'P 1'
_space_group_IT_number 1
_space_group_name_Hall 'P 1'
loop_
_atom_site_label
_atom_site_type_symbol
_atom_site_fract_x
_atom_site_fract_y
_atom_site_fract_z
_atom_site_occupancy
Sb1 Sb 0.5634 0.1250 0.2500 1
Sb2 Sb 0.1866 0.6250 0.2500 1
Sb3 Sb 0.3750 0.4366 0.7500 1
Sb4 Sb 0.8750 0.8134 0.7500 1
Au1 Au 0.0000 0.0000 0.0000 1
Au2 Au 0.7500 0.2500 0.5000 1
N1 N 0.5000 0.5000 0.0000 1
N2 N 0.2500 0.7500 0.5000 1
```

Output
Symmetry = No. 122
Energy = -18.212 eV/f.u.
Volume = 185.07 Å³ per cell
Energy relative to the elements, uncorrected = 0.409 eV/atom


Record 7
A plane-wave DFT calculation with PBE-GGA was carried out for a geometry-optimized Sb2Au2N structure.

Geometry as CIF:
```
data_Sb2Au2N
_cell_length_a 6.4600
_cell_length_b 6.4600
_cell_length_c 4.8883
_cell_angle_alpha 90.00
_cell_angle_beta 90.00
_cell_angle_gamma 90.00
_space_group_name_H-M_alt 'P 1'
_space_group_IT_number 1
_space_group_name_Hall 'P 1'
loop_
_atom_site_label
_atom_site_type_symbol
_atom_site_fract_x
_atom_site_fract_y
_atom_site_fract_z
_atom_site_occupancy
Sb1 Sb 0.3054 0.8054 0.0000 1
Sb2 Sb 0.8054 0.6946 0.0000 1
Sb3 Sb 0.6946 0.1946 0.0000 1
Sb4 Sb 0.1946 0.3054 0.0000 1
Au1 Au 0.1524 0.6524 0.5000 1
Au2 Au 0.6524 0.8476 0.5000 1
Au3 Au 0.8476 0.3476 0.5000 1
Au4 Au 0.3476 0.1524 0.5000 1
N1 N 0.0000 0.0000 0.0000 1
N2 N 0.5000 0.5000 0.0000 1
```

Output
ΔE to the lowest computed polymorph = 0.0000 eV per atom
Symmetry = No. 127
Energy = -19.973 eV/f.u.
Volume = 204.00 Å³ per cell
Energy relative to the elements, uncorrected = 0.630 eV/atom


Record 8
A plane-wave DFT calculation with PBE-GGA was carried out for a geometry-optimized SbAuN2 structure.

Geometry as CIF:
```
data_SbAuN2
_cell_length_a 6.5873
_cell_length_b 6.5873
_cell_length_c 6.5873
_cell_angle_alpha 28.65
_cell_angle_beta 28.65
_cell_angle_gamma 28.65
_space_group_name_H-M_alt 'P 1'
_space_group_IT_number 1
_space_group_name_Hall 'P 1'
loop_
_atom_site_label
_atom_site_type_symbol
_atom_site_fract_x
_atom_site_fract_y
_atom_site_fract_z
_atom_site_occupancy
Sb1 Sb 0.5000 0.5000 0.5000 1
Au1 Au 0.0000 0.0000 0.0000 1
N1 N 0.8904 0.8904 0.8904 1
N2 N 0.1096 0.1096 0.1096 1
```

Output
Symmetry = No. 166
Energy = -22.086 eV/f.u.
Volume = 58.10 Å³ per cell
Energy relative to the elements, uncorrected = 0.491 eV/atom


Record 9
A plane-wave DFT calculation with PBE-GGA was carried out for a geometry-optimized SbAuN structure.

Geometry as CIF:
```
data_SbAuN
_cell_length_a 3.1581
_cell_length_b 4.5929
_cell_length_c 12.2218
_cell_angle_alpha 100.83
_cell_angle_beta 90.19
_cell_angle_gamma 90.00
_space_group_name_H-M_alt 'P 1'
_space_group_IT_number 1
_space_group_name_Hall 'P 1'
loop_
_atom_site_label
_atom_site_type_symbol
_atom_site_fract_x
_atom_site_fract_y
_atom_site_fract_z
_atom_site_occupancy
Sb1 Sb 0.9975 0.1580 0.3160 1
Sb2 Sb 0.0025 0.8420 0.6840 1
Au1 Au 0.0009 0.2828 0.5656 1
Au2 Au 0.9991 0.7172 0.4344 1
N1 N 0.5003 0.5232 0.0464 1
N2 N 0.4997 0.4768 0.9536 1
```

Output
ΔE to the lowest computed polymorph = 0.0000 eV per atom
Symmetry = No. 12
Energy = -15.513 eV/f.u.
Volume = 174.12 Å³ per cell
Energy relative to the elements, uncorrected = 0.071 eV/atom


Record 10
A plane-wave DFT calculation with PBE-GGA was carried out for a geometry-optimized SbAuN2 structure.

Geometry as CIF:
```
data_SbAuN2
_cell_length_a 5.2310
_cell_length_b 5.2310
_cell_length_c 5.9849
_cell_angle_alpha 64.09
_cell_angle_beta 64.09
_cell_angle_gamma 90.00
_space_group_name_H-M_alt 'P 1'
_space_group_IT_number 1
_space_group_name_Hall 'P 1'
loop_
_atom_site_label
_atom_site_type_symbol
_atom_site_fract_x
_atom_site_fract_y
_atom_site_fract_z
_atom_site_occupancy
Sb1 Sb 0.5000 0.5000 0.0000 1
Sb2 Sb 0.2500 0.7500 0.5000 1
Au1 Au 0.0000 0.0000 0.0000 1
Au2 Au 0.7500 0.2500 0.5000 1
N1 N 0.5762 0.1250 0.2500 1
N2 N 0.1738 0.6250 0.2500 1
N3 N 0.3750 0.4238 0.7500 1
N4 N 0.8750 0.8262 0.7500 1
```

Output
Symmetry = No. 122
Energy = -20.461 eV/f.u.
Volume = 128.75 Å³ per cell
Energy relative to the elements, uncorrected = 0.897 eV/atom


Record 11
A plane-wave DFT calculation with PBE-GGA was carried out for a geometry-optimized SbAuN2 structure.

Geometry as CIF:
```
data_SbAuN2
_cell_length_a 7.1129
_cell_length_b 4.5241
_cell_length_c 11.1723
_cell_angle_alpha 77.99
_cell_angle_beta 82.16
_cell_angle_gamma 51.52
_space_group_name_H-M_alt 'P 1'
_space_group_IT_number 1
_space_group_name_Hall 'P 1'
loop_
_atom_site_label
_atom_site_type_symbol
_atom_site_fract_x
_atom_site_fract_y
_atom_site_fract_z
_atom_site_occupancy
Sb1 Sb 0.2485 0.7069 0.5864 1
Sb2 Sb 0.7515 0.2931 0.4136 1
Au1 Au 0.0000 0.5000 0.5000 1
Au2 Au 0.5000 0.0000 0.5000 1
N1 N 0.8076 0.9067 0.8941 1
N2 N 0.1924 0.0933 0.1059 1
N3 N 0.6758 0.2230 0.8890 1
N4 N 0.3242 0.7770 0.1110 1
```

Output
Symmetry = No. 2
Energy = -23.761 eV/f.u.
Volume = 275.28 Å³ per cell
Energy relative to the elements, uncorrected = 0.072 eV/atom


Record 12
A plane-wave DFT calculation with PBE-GGA was carried out for a geometry-optimized Sb2Au2N structure.

Geometry as CIF:
```
data_Sb2Au2N
_cell_length_a 3.7120
_cell_length_b 3.7120
_cell_length_c 8.1367
_cell_angle_alpha 76.81
_cell_angle_beta 76.81
_cell_angle_gamma 90.00
_space_group_name_H-M_alt 'P 1'
_space_group_IT_number 1
_space_group_name_Hall 'P 1'
loop_
_atom_site_label
_atom_site_type_symbol
_atom_site_fract_x
_atom_site_fract_y
_atom_site_fract_z
_atom_site_occupancy
Sb1 Sb 0.4083 0.4083 0.1834 1
Sb2 Sb 0.5917 0.5917 0.8166 1
Au1 Au 0.7500 0.2500 0.5000 1
Au2 Au 0.2500 0.7500 0.5000 1
N1 N 0.0000 0.0000 0.0000 1
```

Output
ΔE to the lowest computed polymorph = 0.2974 eV per atom
Symmetry = No. 139
Energy = -18.486 eV/f.u.
Volume = 106.12 Å³ per cell
Energy relative to the elements, uncorrected = 0.928 eV/atom